Below is a relaxed structure of SrTlGe2Te, with properties calculated at the PBE level.

## Properties
Crystal system ... tetragonal
Uncorrected formation energy ... 269 meV per atom
Volume ... 37.9 A^3/atom
Fermi-level density of states ... 0.76 states/eV per atom

Structure (CIF):
```
data_SrTlGe2Te
_chemical_formula_sum 'Sr1 Tl1 Ge2 Te1'
_cell_length_a 5.6105
_cell_length_b 5.6105
_cell_length_c 6.0159
_cell_angle_alpha 90.00
_cell_angle_beta 90.00
_cell_angle_gamma 90.00
_symmetry_space_group_name_H-M 'P 4/m m m'
_symmetry_Int_Tables_number 123
_symmetry_space_group_name_Hall '-P 4 2'
loop_
_atom_site_label
_atom_site_type_symbol
_atom_site_fract_x
_atom_site_fract_y
_atom_site_fract_z
Sr1 Sr 0.0000 0.0000 0.0000
Tl1 Tl 0.5000 0.5000 0.0000
Ge1 Ge 0.0000 0.5000 0.5000
Te1 Te 0.0000 0.0000 0.5000
```

***

Below is a relaxed structure of K2YOs, with properties calculated at the PBE level.

## Properties
Calculated formation energy ... 0.9681 eV per atom
Crystal system ... tetragonal
Relative energy among the computed polymorphs ... 467 meV per atom
Volume ... 28.1 A^3/atom
Fermi-level density of states ... 1.10 states/eV per atom

Structure (CIF):
```
data_K2YOs
_chemical_formula_sum 'K4 Y2 Os2'
_cell_length_a 4.2587
_cell_length_b 4.2587
_cell_length_c 12.4103
_cell_angle_alpha 90.00
_cell_angle_beta 90.00
_cell_angle_gamma 90.00
_symmetry_space_group_name_H-M 'I 4/m m m'
_symmetry_Int_Tables_number 139
_symmetry_space_group_name_Hall '-I 4 2'
loop_
_atom_site_label
_atom_site_type_symbol
_atom_site_fract_x
_atom_site_fract_y
_atom_site_fract_z
K1 K 0.0000 0.5000 0.2500
Y1 Y 0.0000 0.0000 0.0000
Os1 Os 0.0000 0.0000 0.5000
```

***

Below is a relaxed structure of In5I4Br, with properties calculated at the PBE level.

## Properties
Crystal system ... orthorhombic
Uncorrected formation energy ... -489 meV per atom
Volume ... 41.9 A^3/atom

Structure (CIF):
```
data_In5I4Br
_chemical_formula_sum 'In10 I8 Br2'
_cell_length_a 4.9085
_cell_length_b 6.9658
_cell_length_c 24.5343
_cell_angle_alpha 90.00
_cell_angle_beta 90.00
_cell_angle_gamma 90.00
_symmetry_space_group_name_H-M 'I m m m'
_symmetry_Int_Tables_number 71
_symmetry_space_group_name_Hall '-I 2 2'
loop_
_atom_site_label
_atom_site_type_symbol
_atom_site_fract_x
_atom_site_fract_y
_atom_site_fract_z
In1 In 0.0000 0.0000 0.0000
In2 In 0.0000 0.0000 0.2022
In3 In 0.0000 0.0000 0.4071
I1 I 0.0000 0.5000 0.1959
I2 I 0.0000 0.5000 0.3992
Br1 Br 0.0000 0.5000 0.0000
```

***

Below is a relaxed structure of RbNaBe, with properties calculated at the PBE level.

## Properties
Calculated formation energy ... 0.4748 eV per atom
Crystal system ... triclinic
Relative energy among the computed polymorphs ... 38 meV per atom
Volume ... 40.6 A^3/atom
Fermi-level density of states ... 0.60 states/eV per atom

Structure (CIF):
```
data_RbNaBe
_chemical_formula_sum 'Rb2 Na2 Be2'
_cell_length_a 4.1942
_cell_length_b 7.4164
_cell_length_c 8.6059
_cell_angle_alpha 70.06
_cell_angle_beta 76.35
_cell_angle_gamma 89.28
_symmetry_space_group_name_H-M 'P 1'
_symmetry_Int_Tables_number 1
loop_
_symmetry_equiv_pos_as_xyz
'x,y,z'
loop_
_atom_site_label
_atom_site_type_symbol
_atom_site_fract_x
_atom_site_fract_y
_atom_site_fract_z
Rb1 Rb 0.0000 0.0000 0.0000
Rb2 Rb 0.2726 0.5298 0.4613
Na1 Na 0.5266 0.5312 0.9340
Na2 Na 0.7475 0.0028 0.5215
Be1 Be 0.3804 0.2381 0.2424
Be2 Be 0.8932 0.2989 0.2133
```